# Ho12AlRu6, optimized geometry, DFT PBE
# E_form = -5.45 eV per formula unit
# DFT total energy = -239.560 eV/cell
# Total moment = 0.0 μB/f.u.
# DOS at the Fermi energy = 1.03 states/eV per atom
data_Ho12AlRu6
_chemical_formula_sum 'Ho24 Al2 Ru12'
_symmetry_space_group_name_H-M 'I m -3'
_symmetry_Int_Tables_number 204
_symmetry_space_group_name_Hall '-I 2 2 3'
_cell_length_a 9.747
_cell_length_b 9.747
_cell_length_c 9.747
_cell_angle_alpha 90.00
_cell_angle_beta 90.00
_cell_angle_gamma 90.00
loop_
_atom_site_label
_atom_site_type_symbol
_atom_site_fract_x
_atom_site_fract_y
_atom_site_fract_z
Ho1 Ho 0.000 0.294 0.194
Al1 Al 0.000 0.000 0.000
Ru1 Ru 0.000 0.125 0.500